Entry 1:
A relaxed NbSiAs crystal, computed with PBE.

Lattice parameters (Å, degrees): 3.513 3.513 7.960 90.00 90.00 90.00
Element x y z (fractional)
Nb 0.000 0.000 0.746
Nb 0.500 0.500 0.254
As 0.000 0.000 0.389
As 0.500 0.500 0.612
Si 0.500 0.000 0.000
Si 0.000 0.500 0.000

Symmetry: P4/nmm (129)
Distance to the lowest polymorph of the same formula, eV per formula unit: 0.00
Crystal system: tetragonal

Entry 2:
A relaxed NbSiAs crystal, computed with PBE.

Lattice parameters (Å, degrees): 4.385 4.385 4.385 60.00 60.00 60.00
Element x y z (fractional)
As 0.250 0.250 0.250
Nb 0.000 0.000 0.000
Si 0.750 0.750 0.750

Symmetry: F-43m (216)
Distance to the lowest polymorph of the same formula, eV per formula unit: 2.65
Crystal system: cubic